(1)
First-principles (PBE) data for an optimized crystal structure of Ti3Ge2Pd, as listed in the Alexandria database.

The structure in CIF format:
```
data_Ti3Ge2Pd
_cell_length_a 9.140
_cell_length_b 2.944
_cell_length_c 14.695
_cell_angle_alpha 90.00
_cell_angle_beta 90.00
_cell_angle_gamma 90.00
_space_group_name_H-M_alt 'P n m a'
_space_group_IT_number 62
_space_group_name_Hall '-P 2ac 2n'
loop_
_atom_site_label
_atom_site_fract_x
_atom_site_fract_y
_atom_site_fract_z
_atom_site_occupancy
Ti1 0.024 0.250 0.082 1
Ti2 0.040 0.750 0.424 1
Ti3 0.218 0.250 0.306 1
Ge1 0.024 0.250 0.761 1
Ge2 0.238 0.750 0.990 1
Pd1 0.187 0.750 0.634 1
```



(2)
First-principles (PBE) data for an optimized crystal structure of TiGePd2W, as listed in the Alexandria database.

The structure in CIF format:
```
data_TiGePd2W
_cell_length_a 4.496
_cell_length_b 4.496
_cell_length_c 4.727
_cell_angle_alpha 90.00
_cell_angle_beta 90.00
_cell_angle_gamma 90.00
_space_group_name_H-M_alt 'P 4/m m m'
_space_group_IT_number 123
_space_group_name_Hall '-P 4 2'
loop_
_atom_site_label
_atom_site_fract_x
_atom_site_fract_y
_atom_site_fract_z
_atom_site_occupancy
Ti1 0.000 0.000 0.000 1
Ge1 0.500 0.500 0.500 1
Pd1 0.000 0.500 0.500 1
W1 0.500 0.500 0.000 1
```



no.,DFT formation energy (eV/atom)
1,-0.3516
2,0.6505